1.
# Ac2TlSi PBE optimized geometry
data_Ac2TlSi
_symmetry_space_group_name_H-M 'P 1 21/m 1'
_symmetry_Int_Tables_number 11
_cell_length_a 6.598
_cell_length_b 4.411
_cell_length_c 9.475
_cell_angle_alpha 90.00
_cell_angle_beta 108.08
_cell_angle_gamma 90.00
loop_
_symmetry_equiv_pos_as_xyz
'x,y,z'
'-x,-y,-z'
'-x,y+1/2,-z'
'x,-y+1/2,z'
loop_
_atom_site_label
_atom_site_type_symbol
_atom_site_fract_x
_atom_site_fract_y
_atom_site_fract_z
Ac1 Ac 0.196 0.250 0.418
Ac2 Ac 0.273 0.750 0.061
Tl1 Tl 0.365 0.750 0.712
Si1 Si 0.134 0.250 0.790
# DOS(E_F)	3.3	states/eV/f.u.
# crystal system	monoclinic
# formation energy without anion corrections	-166	kJ/mol of formula units

---

2.
# Ac3TmSi7 PBE optimized geometry
data_Ac3TmSi7
_symmetry_space_group_name_H-M 'C m c m'
_symmetry_Int_Tables_number 63
_symmetry_space_group_name_Hall '-C 2c 2'
_cell_length_a 4.388
_cell_length_b 19.558
_cell_length_c 11.975
_cell_angle_alpha 90.00
_cell_angle_beta 90.00
_cell_angle_gamma 90.00
loop_
_atom_site_label
_atom_site_type_symbol
_atom_site_fract_x
_atom_site_fract_y
_atom_site_fract_z
Ac1 Ac 0.000 0.106 0.048
Ac2 Ac 0.000 0.246 0.750
Tm1 Tm 0.000 0.046 0.750
Si1 Si 0.000 0.270 0.033
Si2 Si 0.000 0.367 0.151
Si3 Si 0.000 0.429 0.750
Si4 Si 0.000 0.488 0.097
# DOS(E_F)	4.5	states/eV/f.u.
# crystal system	orthorhombic
# formation energy without anion corrections	-604	kJ/mol of formula units

---

Asked for E across the records above, the calculation gives -4.4327; -5.5468 eV per atom in order.
Asked for spin magnetization across the records above, the calculation gives 0.245; 0.000 μB per cell in order.